Record 1
This record from Alexandria via LeMat-Bulk describes crystalline Al2InC2 at its relaxed geometry. The functional is PBE.

Results
E: -48.627 eV for the cell shown
ΔH_f (0 K): 4.4 eV per formula unit
DOS at the Fermi energy: 0.47 states/eV per atom

Structure (CIF):
```
data_Al2InC2
_symmetry_space_group_name_H-M 'I 4/m m m'
_symmetry_Int_Tables_number 139
_symmetry_space_group_name_Hall '-I 4 2'
_cell_length_a 4.0374
_cell_length_b 4.0374
_cell_length_c 11.2160
_cell_angle_alpha 90.00
_cell_angle_beta 90.00
_cell_angle_gamma 90.00
loop_
_atom_site_label
_atom_site_fract_x
_atom_site_fract_y
_atom_site_fract_z
_atom_site_occupancy
Al1 0.0000 0.0000 0.2336 1
In1 0.0000 0.0000 0.5000 1
C1 0.0000 0.5000 0.2500 1
```


Record 2
This record from Alexandria via LeMat-Bulk describes crystalline Al2InC at its relaxed geometry. The functional is PBE.

Results
E: -72.938 eV for the cell shown
ΔH_f (0 K): 1.2 eV per formula unit
DOS at the Fermi energy: 0.46 states/eV per atom

Structure (CIF):
```
data_Al2InC
_symmetry_space_group_name_H-M 'I -4 2 d'
_symmetry_Int_Tables_number 122
_symmetry_space_group_name_Hall 'I -4 2bw'
_cell_length_a 5.8203
_cell_length_b 5.8203
_cell_length_c 8.8903
_cell_angle_alpha 90.00
_cell_angle_beta 90.00
_cell_angle_gamma 90.00
loop_
_atom_site_label
_atom_site_fract_x
_atom_site_fract_y
_atom_site_fract_z
_atom_site_occupancy
Al1 0.1226 0.2500 0.1250 1
In1 0.0000 0.0000 0.5000 1
C1 0.0000 0.0000 0.0000 1
```


Record 3
This record from Alexandria via LeMat-Bulk describes crystalline AlInC3 at its relaxed geometry. The functional is PBE.

Results
E: -23.567 eV for the cell shown
ΔH_f (0 K): 10.6 eV per formula unit
DOS at the Fermi energy: 0.31 states/eV per atom

Structure (CIF):
```
data_AlInC3
_symmetry_space_group_name_H-M 'P m -3 m'
_symmetry_Int_Tables_number 221
_symmetry_space_group_name_Hall '-P 4 2 3'
_cell_length_a 4.0027
_cell_length_b 4.0027
_cell_length_c 4.0027
_cell_angle_alpha 90.00
_cell_angle_beta 90.00
_cell_angle_gamma 90.00
loop_
_atom_site_label
_atom_site_fract_x
_atom_site_fract_y
_atom_site_fract_z
_atom_site_occupancy
Al1 0.0000 0.0000 0.0000 1
In1 0.5000 0.5000 0.5000 1
C1 0.0000 0.0000 0.5000 1
```


Record 4
This record from Alexandria via LeMat-Bulk describes crystalline Al2InC at its relaxed geometry. The functional is PBE.

Results
E: -57.666 eV for the cell shown
ΔH_f (0 K): 0.2 eV per formula unit
DOS at the Fermi energy: 0.04 states/eV per atom

Structure (CIF):
```
data_Al2InC
_symmetry_space_group_name_H-M 'R -3 m'
_symmetry_Int_Tables_number 166
_symmetry_space_group_name_Hall '-R 3 2"'
_cell_length_a 3.1845
_cell_length_b 3.1845
_cell_length_c 22.2019
_cell_angle_alpha 90.00
_cell_angle_beta 90.00
_cell_angle_gamma 120.00
loop_
_atom_site_label
_atom_site_fract_x
_atom_site_fract_y
_atom_site_fract_z
_atom_site_occupancy
Al1 0.0000 0.0000 0.1205 1
In1 0.0000 0.0000 0.0000 1
C1 0.0000 0.0000 0.5000 1
```


Record 5
This record from Alexandria via LeMat-Bulk describes crystalline La2AlInC at its relaxed geometry. The functional is PBE.

Results
E: -27.062 eV for the cell shown
ΔH_f (0 K): -1.5 eV per formula unit
DOS at the Fermi energy: 0.41 states/eV per atom

Structure (CIF):
```
data_La2AlInC
_symmetry_space_group_name_H-M 'P 4/m m m'
_symmetry_Int_Tables_number 123
_symmetry_space_group_name_Hall '-P 4 2'
_cell_length_a 5.4529
_cell_length_b 5.4529
_cell_length_c 4.0218
_cell_angle_alpha 90.00
_cell_angle_beta 90.00
_cell_angle_gamma 90.00
loop_
_atom_site_label
_atom_site_fract_x
_atom_site_fract_y
_atom_site_fract_z
_atom_site_occupancy
La1 0.0000 0.5000 0.0000 1
Al1 0.0000 0.0000 0.5000 1
In1 0.5000 0.5000 0.5000 1
C1 0.0000 0.0000 0.0000 1
```


Record 6
This record from Alexandria via LeMat-Bulk describes crystalline LiAlInC2 at its relaxed geometry. The functional is PBE.

Results
E: -15.992 eV for the cell shown
ΔH_f (0 K): 10.9 eV per formula unit
DOS at the Fermi energy: 0.51 states/eV per atom

Structure (CIF):
```
data_LiAlInC2
_symmetry_space_group_name_H-M 'P 4/m m m'
_symmetry_Int_Tables_number 123
_symmetry_space_group_name_Hall '-P 4 2'
_cell_length_a 4.3735
_cell_length_b 4.3735
_cell_length_c 5.4004
_cell_angle_alpha 90.00
_cell_angle_beta 90.00
_cell_angle_gamma 90.00
loop_
_atom_site_label
_atom_site_fract_x
_atom_site_fract_y
_atom_site_fract_z
_atom_site_occupancy
Li1 0.0000 0.0000 0.0000 1
Al1 0.5000 0.5000 0.0000 1
In1 0.5000 0.5000 0.5000 1
C1 0.0000 0.5000 0.5000 1
```